(1)
Material: AcHN3
Method: DFT, PBE
State: optimized geometry

Space-group type = C2/m (12)

a = 4.1431 Å, b = 6.1490 Å, c = 8.0399 Å
α = 97.33°, β = 90.00°, γ = 109.69°
With the nearest neighbours (Å) after each atom.
Fractional positions:
N 0.6616 0.3232 0.5532  1 N 1.17
N 0.6479 0.2958 0.9792  1 H 1.03
N 0.3521 0.7042 0.0208  1 H 1.03
N 0.6669 0.3338 0.4083  1 N 1.17
N 0.3384 0.6768 0.4468  1 N 1.17
N 0.3331 0.6662 0.5917  1 N 1.17
Ac 0.1748 0.3497 0.8102  4 N 2.48-2.71
Ac 0.8252 0.6503 0.1898  4 N 2.48-2.71
H 0.4221 0.8443 0.9537  1 N 1.03
H 0.5779 0.1557 0.0463  1 N 1.03

=====

(2)
Material: Ac3HN3
Method: DFT, PBE
State: optimized geometry

Space-group type = Pm-3m (221)

a = 5.3129 Å, b = 5.3129 Å, c = 5.3129 Å
α = 90.00°, β = 90.00°, γ = 90.00°
With the nearest neighbours (Å) after each atom.
Fractional positions:
Ac 0.5000 0.5000 0.0000  2 H 2.66, 4 N 2.66
Ac 0.0000 0.5000 0.5000  2 H 2.66, 4 N 2.66
Ac 0.5000 0.0000 0.5000  4 N 2.66, 2 H 2.66
N 0.0000 0.5000 0.0000  4 Ac 2.66
N 0.5000 0.0000 0.0000  4 Ac 2.66
N 0.0000 0.0000 0.5000  4 Ac 2.66
H 0.5000 0.5000 0.5000  6 Ac 2.66

=====

(3)
Material: Ac2H2N
Method: DFT, PBE
State: optimized geometry

Space-group type = P6_3/mmc (194)

a = 4.3050 Å, b = 4.3050 Å, c = 11.6290 Å
α = 90.00°, β = 90.00°, γ = 120.00°
With the nearest neighbours (Å) after each atom.
Fractional positions:
H 0.3333 0.6667 0.5668  3 Ac 2.60
H 0.3333 0.6667 0.9332  3 Ac 2.60
H 0.6667 0.3333 0.4332  3 Ac 2.60
H 0.6667 0.3333 0.0668  3 Ac 2.60
Ac 0.0000 0.0000 0.0000  6 H 2.60, 2 N 2.91
Ac 0.6667 0.3333 0.7500  3 N 2.49
Ac 0.3333 0.6667 0.2500  3 N 2.49
Ac 0.0000 0.0000 0.5000  6 H 2.60, 2 N 2.91
N 0.0000 0.0000 0.2500  3 Ac 2.49
N 0.0000 0.0000 0.7500  3 Ac 2.49

=====

(4)
Material: Ac2HN
Method: DFT, PBE
State: optimized geometry

Space-group type = R-3m (166)

a = 3.8547 Å, b = 3.8547 Å, c = 6.8729 Å
α = 73.71°, β = 73.71°, γ = 60.00°
With the nearest neighbours (Å) after each atom.
Fractional positions:
Ac 0.7567 0.7567 0.7298  3 N 2.68, 3 H 2.84
Ac 0.2433 0.2433 0.2702  3 N 2.68, 3 H 2.84
N 0.5000 0.5000 0.5000  6 Ac 2.68
H 0.0000 0.0000 0.0000  6 Ac 2.84

=====

(5)
Material: Ac2HN
Method: DFT, PBE
State: optimized geometry

Space-group type = C2/c (15)

a = 6.7560 Å, b = 6.9599 Å, c = 8.5896 Å
α = 105.14°, β = 104.17°, γ = 111.48°
With the nearest neighbours (Å) after each atom.
Fractional positions:
H 0.4432 0.6932 0.3863  6 Ac 2.67-2.97
H 0.8183 0.5683 0.1366  6 Ac 2.66-2.98
H 0.1817 0.4317 0.8634  6 Ac 2.66-2.98
H 0.5568 0.3068 0.6137  6 Ac 2.67-2.97
Ac 0.7012 0.4268 0.3751  3 H 2.66-2.97, 3 N 2.70-2.78
Ac 0.8260 0.0517 0.6249  3 H 2.66-2.97, 3 N 2.70-2.78
Ac 0.0666 0.2922 0.1258  3 N 2.61-2.70, 2 H 2.83-2.84
Ac 0.9334 0.7078 0.8742  3 N 2.61-2.70, 2 H 2.83-2.84
Ac 0.1740 0.9483 0.3751  3 H 2.66-2.97, 3 N 2.70-2.78
Ac 0.2988 0.5732 0.6249  3 H 2.66-2.97, 3 N 2.70-2.78
Ac 0.4408 0.1664 0.8742  3 N 2.61-2.70, 2 H 2.83-2.84
Ac 0.5592 0.8336 0.1258  3 N 2.61-2.70, 2 H 2.83-2.84
N 0.9318 0.1818 0.3636  6 Ac 2.61-2.78
N 0.6912 0.9412 0.8824  6 Ac 2.64-2.77
N 0.0682 0.8182 0.6364  6 Ac 2.61-2.78
N 0.3088 0.0588 0.1176  6 Ac 2.64-2.77

=====

(6)
Material: Ac5HN4
Method: DFT, PBE
State: optimized geometry

Space-group type = I4/mmm (139)

a = 3.9399 Å, b = 3.9399 Å, c = 13.8239 Å
α = 98.19°, β = 98.19°, γ = 90.00°
With the nearest neighbours (Å) after each atom.
Fractional positions:
Ac 0.2997 0.2997 0.5994  6 N 2.78-2.81
Ac 0.1020 0.1020 0.2039  5 N 2.57-2.79, 1 H 2.76
Ac 0.7003 0.7003 0.4006  6 N 2.78-2.81
Ac 0.8980 0.8980 0.7961  5 N 2.57-2.79, 1 H 2.76
Ac 0.5000 0.5000 0.0000  2 N 2.61, 4 H 2.79
N 0.4036 0.4036 0.8073  6 Ac 2.61-2.81
N 0.5964 0.5964 0.1927  6 Ac 2.61-2.81
N 0.8031 0.8031 0.6062  6 Ac 2.57-2.79
N 0.1969 0.1969 0.3938  6 Ac 2.57-2.79
H 0.0000 0.0000 0.0000  6 Ac 2.76-2.79

=====

(7)
Material: Ac3HN2
Method: DFT, PBE
State: optimized geometry

Space-group type = Cmcm (63)

a = 7.4374 Å, b = 7.4374 Å, c = 11.2310 Å
α = 90.00°, β = 90.00°, γ = 149.63°
With the nearest neighbours (Å) after each atom.
Fractional positions:
Ac 0.6051 0.3949 0.5848  3 N 2.45-2.64
Ac 0.6051 0.3949 0.9152  3 N 2.45-2.64
Ac 0.0986 0.9014 0.2500  2 N 2.36
Ac 0.9014 0.0986 0.7500  2 N 2.36
Ac 0.3949 0.6051 0.4152  3 N 2.45-2.64
Ac 0.3949 0.6051 0.0848  3 N 2.45-2.64
N 0.5058 0.4942 0.2500  4 Ac 2.36-2.45
N 0.0000 0.0000 0.0000  4 Ac 2.64
N 0.0000 0.0000 0.5000  4 Ac 2.64
N 0.4942 0.5058 0.7500  4 Ac 2.36-2.45
H 0.8497 0.1503 0.2500  4 Ac 2.77, 2 N 2.97
H 0.1503 0.8497 0.7500  4 Ac 2.77, 2 N 2.97

=====

(8)
Material: Ac4HN3
Method: DFT, PBE
State: optimized geometry

Space-group type = Pm-3m (221)

a = 5.5008 Å, b = 5.5008 Å, c = 5.5008 Å
α = 90.00°, β = 90.00°, γ = 90.00°
With the nearest neighbours (Å) after each atom.
Fractional positions:
Ac 0.0000 0.5000 0.0000  4 N 2.75, 2 H 2.75
Ac 0.0000 0.0000 0.5000  4 N 2.75, 2 H 2.75
Ac 0.5000 0.5000 0.5000  6 N 2.75
Ac 0.5000 0.0000 0.0000  2 H 2.75, 4 N 2.75
H 0.0000 0.0000 0.0000  6 Ac 2.75
N 0.5000 0.0000 0.5000  6 Ac 2.75
N 0.0000 0.5000 0.5000  6 Ac 2.75
N 0.5000 0.5000 0.0000  6 Ac 2.75

=====

(9)
Material: Ac4H2N
Method: DFT, PBE
State: optimized geometry

Space-group type = I4/mmm (139)

a = 5.3207 Å, b = 5.3207 Å, c = 7.3246 Å
α = 68.70°, β = 68.70°, γ = 90.00°
With the nearest neighbours (Å) after each atom.
Fractional positions:
Ac 0.7767 0.7767 0.4466  1 H 2.48
Ac 0.5000 0.0000 0.0000  2 N 2.66, 4 H 2.84
Ac 0.0000 0.5000 0.0000  2 N 2.66, 4 H 2.84
Ac 0.2233 0.2233 0.5534  1 H 2.48
H 0.5795 0.5795 0.8410  1 H 2.00
H 0.4205 0.4205 0.1590  1 H 2.00
N 0.0000 0.0000 0.0000  6 Ac 2.66-2.81

=====

(10)
Material: Ac6HN5
Method: DFT, PBE
State: optimized geometry

Space-group type = C2/m (12)

a = 6.7662 Å, b = 6.7662 Å, c = 6.7525 Å
α = 99.72°, β = 99.72°, γ = 120.03°
With the nearest neighbours (Å) after each atom.
Fractional positions:
Ac 0.9167 0.5701 0.7463  5 N 2.60-2.78, 1 H 2.84
Ac 0.7370 0.7370 0.2602  5 N 2.63-2.85, 1 H 2.89
Ac 0.4299 0.0833 0.2537  5 N 2.60-2.78, 1 H 2.84
Ac 0.5701 0.9167 0.7463  5 N 2.60-2.78, 1 H 2.84
Ac 0.0833 0.4299 0.2537  5 N 2.60-2.78, 1 H 2.84
Ac 0.2630 0.2630 0.7398  5 N 2.63-2.85, 1 H 2.89
N 0.3367 0.6633 0.0000  6 Ac 2.72-2.76
N 0.1761 0.8239 0.5000  6 Ac 2.60-2.85
N 0.8239 0.1761 0.5000  6 Ac 2.60-2.85
N 0.6633 0.3367 0.0000  6 Ac 2.72-2.76
N 0.5000 0.5000 0.5000  6 Ac 2.63-2.78
H 0.0000 0.0000 0.0000  6 Ac 2.84-2.89

=====

(11)
Material: Ac2HN
Method: DFT, PBE
State: optimized geometry

Space-group type = P4/mmm (123)

a = 3.3988 Å, b = 3.3988 Å, c = 6.7855 Å
α = 90.00°, β = 90.00°, γ = 90.00°
With the nearest neighbours (Å) after each atom.
Fractional positions:
H 0.5000 0.5000 0.5000  8 Ac 3.01
N 0.5000 0.5000 0.0000  8 Ac 2.87
Ac 0.0000 0.0000 0.2320  4 N 2.87, 4 H 3.01, 1 Ac 3.15
Ac 0.0000 0.0000 0.7680  4 N 2.87, 4 H 3.01, 1 Ac 3.15

=====

(12)
Material: Ac4HN3
Method: DFT, PBE
State: optimized geometry

Space-group type = Cmmm (65)

a = 3.8857 Å, b = 6.7203 Å, c = 6.7203 Å
α = 71.72°, β = 89.99°, γ = 89.99°
With the nearest neighbours (Å) after each atom.
Fractional positions:
Ac 0.5002 0.7528 0.2528  5 N 2.69-2.77, 1 H 2.75
Ac 0.4997 0.2473 0.7473  5 N 2.69-2.77, 1 H 2.75
Ac 0.0000 0.7646 0.7355  4 N 2.69-2.73, 2 H 2.85
Ac 0.9999 0.2355 0.2645  4 N 2.69-2.73, 2 H 2.85
N 0.9999 0.5000 0.5000  6 Ac 2.73-2.77
N 0.5000 0.0002 0.4999  6 Ac 2.69
N 0.9999 0.0001 0.0001  6 Ac 2.73-2.77
H 0.5000 0.5004 0.9996  6 Ac 2.75-2.85

=====

Number 1: total magnetic moment 0.191 μB/atom, energy -69.54 eV per cell. Number 2: total magnetic moment 0.158 μB/atom, energy -40.98 eV per cell. Number 3: total magnetic moment 0.000 μB/atom, energy -52.80 eV per cell. Number 4: total magnetic moment 0.000 μB/atom, energy -22.75 eV per cell. Number 5: total magnetic moment 0.000 μB/atom, energy -90.56 eV per cell. Number 6: total magnetic moment 0.000 μB/atom, energy -66.41 eV per cell. Number 7: total magnetic moment 0.000 μB/atom, energy -73.57 eV per cell. Number 8: total magnetic moment 0.000 μB/atom, energy -51.16 eV per cell. Number 9: total magnetic moment 0.000 μB/atom, energy -34.14 eV per cell. Number 10: total magnetic moment 0.000 μB/atom, energy -81.44 eV per cell. Number 11: total magnetic moment 0.001 μB/atom, energy -20.31 eV per cell. Number 12: total magnetic moment 0.000 μB/atom, energy -51.97 eV per cell.